1.
PrErMg6: optimized geometry, PBE.

Geometry as POSCAR:
```
PrErMg6
1.0
5.220 0.000 0.000
0.000 3.374 5.833
0.000 -3.374 5.833
Pr Er Mg
1 1 6
Direct
0.000 0.000 0.000 Pr
0.500 0.332 0.332 Er
0.000 0.501 0.501 Mg
0.000 0.502 0.996 Mg
0.000 0.996 0.502 Mg
0.500 0.344 0.826 Mg
0.500 0.826 0.344 Mg
0.500 0.827 0.827 Mg
```

As for the uncorrected energy: -2.437 eV per atom. As for the calculated density: 3.7 g/cm3. The space-group type is Amm2. As for the crystal system: orthorhombic. Its formation energy is -0.07 eV per atom.

2.
Pr7Er3Mg: optimized geometry, PBE.

Geometry as POSCAR:
```
Pr7Er3Mg
1.0
5.808 -5.218 0.000
5.808 5.218 0.000
-0.438 0.000 6.471
Pr Er Mg
7 3 1
Direct
0.000 0.000 0.000 Pr
0.070 0.410 0.260 Pr
0.259 0.259 0.785 Pr
0.410 0.070 0.260 Pr
0.590 0.930 0.740 Pr
0.741 0.741 0.215 Pr
0.930 0.590 0.740 Pr
0.338 0.662 0.000 Er
0.500 0.500 0.500 Er
0.662 0.338 0.000 Er
0.000 0.000 0.500 Mg
```

As for the uncorrected energy: -4.206 eV per atom. As for the calculated density: 6.4 g/cm3. The space-group type is C2/m. As for the crystal system: monoclinic. Its formation energy is 0.22 eV per atom.

3.
Pr2ErMg3: optimized geometry, PBE.

Geometry as POSCAR:
```
Pr2ErMg3
1.0
3.849 0.000 0.000
0.000 3.849 0.000
0.000 0.000 11.665
Pr Er Mg
2 1 3
Direct
0.000 0.000 0.173 Pr
0.000 0.000 0.827 Pr
0.000 0.000 0.500 Er
0.500 0.500 0.000 Mg
0.500 0.500 0.345 Mg
0.500 0.500 0.655 Mg
```

As for the uncorrected energy: -3.246 eV per atom. As for the calculated density: 5.0 g/cm3. The space-group type is P4/mmm. As for the crystal system: tetragonal. Its formation energy is -0.10 eV per atom.

4.
Pr6Er8Mg: optimized geometry, PBE.

Geometry as POSCAR:
```
Pr6Er8Mg
1.0
9.535 0.000 0.000
-4.767 8.257 0.000
0.000 0.000 6.296
Pr Er Mg
6 8 1
Direct
0.088 0.638 0.191 Pr
0.362 0.450 0.191 Pr
0.450 0.088 0.809 Pr
0.550 0.912 0.191 Pr
0.638 0.550 0.809 Pr
0.912 0.362 0.809 Pr
0.040 0.776 0.689 Er
0.224 0.264 0.689 Er
0.264 0.040 0.311 Er
0.333 0.667 0.677 Er
0.667 0.333 0.323 Er
0.736 0.960 0.689 Er
0.776 0.736 0.311 Er
0.960 0.224 0.311 Er
0.000 0.000 0.000 Mg
```

As for the uncorrected energy: -4.327 eV per atom. As for the calculated density: 7.4 g/cm3. The space-group type is P-3. As for the crystal system: trigonal. Its formation energy is 0.12 eV per atom.

5.
PrEr4Mg2: optimized geometry, PBE.

Geometry as POSCAR:
```
PrEr4Mg2
1.0
-2.763 2.763 7.949
2.763 -2.763 7.949
2.763 2.763 -7.949
Pr Er Mg
1 4 2
Direct
0.000 0.000 0.000 Pr
0.000 0.500 0.500 Er
0.187 0.187 0.000 Er
0.500 0.000 0.500 Er
0.813 0.813 0.000 Er
0.388 0.388 0.000 Mg
0.612 0.612 0.000 Mg
```

As for the uncorrected energy: -3.038 eV per atom. As for the calculated density: 5.9 g/cm3. The space-group type is I4/mmm. As for the crystal system: tetragonal. The value obtained for the distance to the lowest polymorph of the same formula is 665.0 meV per atom. Its formation energy is 0.71 eV per atom.

6.
Pr2Er3Mg2: optimized geometry, PBE.

Geometry as POSCAR:
```
Pr2Er3Mg2
1.0
1.768 -17.209 0.000
1.768 17.209 0.000
0.000 0.000 3.504
Pr Er Mg
2 3 2
Direct
0.204 0.796 0.000 Pr
0.796 0.204 0.000 Pr
0.070 0.930 0.000 Er
0.500 0.500 0.500 Er
0.930 0.070 0.000 Er
0.365 0.635 0.500 Mg
0.635 0.365 0.500 Mg
```

As for the uncorrected energy: -3.753 eV per atom. As for the calculated density: 6.5 g/cm3. The space-group type is Cmmm. As for the crystal system: orthorhombic. Its formation energy is 0.02 eV per atom.